First-principles (PBE-GGA) data for a geometry-optimized Li2RePb structure, as listed in Alexandria via LeMat-Bulk.

a = 4.592 Å, b = 4.592 Å, c = 4.592 Å
α = 60.00°, β = 60.00°, γ = 60.00°
Atoms (fractional coordinates):
Li 0.000 0.000 0.000
Li 0.250 0.250 0.250
Re 0.750 0.750 0.750
Pb 0.500 0.500 0.500

## Properties
energy	-17.90	eV per cell

First-principles (PBE-GGA) data for a geometry-optimized Y2AlTl3S6 structure, as listed in Alexandria via LeMat-Bulk.

a = 6.773 Å, b = 6.773 Å, c = 7.831 Å
α = 98.30°, β = 98.30°, γ = 119.78°
Atoms (fractional coordinates):
Y 0.166 0.834 0.000
Y 0.834 0.166 0.000
Al 0.500 0.500 0.000
Tl 0.000 0.000 0.500
Tl 0.328 0.672 0.500
Tl 0.672 0.328 0.500
S 0.136 0.438 0.815
S 0.258 0.258 0.196
S 0.438 0.136 0.815
S 0.562 0.864 0.185
S 0.742 0.742 0.804
S 0.864 0.562 0.185

## Properties
formation energy without anion corrections	-1219	meV per atom

Size of the total moment across the listed records, respectively: 0.4; 0.0 μB/f.u..
Calculated density across the listed records, respectively: 9880; 5619 kg/m3.